Below is a relaxed structure of ReTe2PCl, with properties calculated at the PBE-GGA level.

Output
The magnetization comes out at 3.277 μB per formula unit. Its formation energy (no corrections) is 1.857 eV/atom.

```
ReTe2PCl
1.0
5.325 0.000 0.000
0.000 5.325 0.000
0.000 0.000 4.475
Re Te P Cl
1 2 1 1
direct
0.000 0.000 0.000
0.000 0.500 0.500
0.500 0.000 0.500
0.500 0.500 0.000
0.500 0.500 0.500
```